# Cu2POs

A relaxed structure of Cu2POs (GGA-PBE, Alexandria).

abc: 5.3838 5.3838 5.3838
angles: 100.63 100.63 129.13
Positions (direct):
Cu  0.0917  0.6250  0.9667
Cu  0.3750  0.3417  0.4667
Cu  0.6583  0.1250  0.0333
Cu  0.8750  0.9083  0.5333
P  0.0000  0.0000  0.0000
P  0.7500  0.2500  0.5000
Os  0.2500  0.7500  0.5000
Os  0.5000  0.5000  0.0000

V, Å³ per cell: 109.3
Energy relative to the elements, meV/atom: 399